Density functional theory data (PBE) for Pm3Tc2B9 after structural relaxation.

Its crystal system is orthorhombic. The total energy is -7.025 eV/atom.

It has space group Immm (No. 71), with a = 3.140 Å, b = 8.383 Å, c = 13.710 Å, α = 90.00°, β = 90.00° and γ = 90.00°. Symmetry generates all atoms from Pm at (0.000, 0.000, 0.000), Pm at (0.000, 0.000, 0.265), Tc at (0.000, 0.170, 0.500), B at (0.000, 0.254, 0.123), B at (0.000, 0.306, 0.365) and B at (0.000, 0.500, 0.000).